Compound: CoRe2Te
Source: Alexandria via LeMat-Bulk
Functional: PBE-GGA
Structure: relaxed

Unit cell a=3.117 b=3.117 c=6.415 alpha=90.00 beta=90.00 gamma=90.00
Element x y z (fractional)
Re: 0.000 0.000 0.539
Re: 0.000 0.000 0.961
Co: 0.500 0.500 0.750
Te: 0.500 0.500 0.250

Values from the calculation:
* uncorrected formation energy: 0.65 eV per atom
* mass density: 14.894 g/cm3
* DFT total energy: -32.53 eV/f.u.
* SG: No. 123